{"formula": "Sr4Zn2Cl", "functional": "PBE-GGA", "state": "relaxed", "dos_ef_per_ev_atom": 1.200, "e_tot_ev_per_cell": -28.92, "formation_energy_uncorrected_kj_per_mol_atoms": -46.00, "m_tot_mub_per_cell": 0.01, "lattice": [[5.982, 0.000, 0.000], [0.000, 5.982, 0.000], [0.000, 0.000, 15.034]], "species": ["Sr", "Sr", "Sr", "Sr", "Sr", "Sr", "Sr", "Sr", "Zn", "Zn", "Zn", "Zn", "Cl", "Cl"], "frac_coords": [[0.000, 0.000, 0.209], [0.000, 0.000, 0.791], [0.000, 0.500, 0.000], [0.000, 0.500, 0.500], [0.500, 0.000, 0.000], [0.500, 0.000, 0.500], [0.500, 0.500, 0.291], [0.500, 0.500, 0.709], [0.000, 0.000, 0.415], [0.000, 0.000, 0.585], [0.500, 0.500, 0.085], [0.500, 0.500, 0.915], [0.000, 0.000, 0.000], [0.500, 0.500, 0.500]]}